# 1
A plane-wave DFT calculation with PBE-GGA was carried out for a relaxed structure of LiBe2Ir.

Cell lengths 3.881, 3.881, 3.881 Å; angles 120.15, 119.97, 89.90 degrees
Element x y z (fractional)
Li1 0.000 0.000 0.000
Be1 0.250 0.750 0.500
Be2 0.750 0.250 0.500
Ir1 0.500 0.500 0.000

Values from the calculation:
- Volume: 10.3 A^3/atom
- Uncorrected energy: -4.95 eV/atom



# 2
A plane-wave DFT calculation with PBE-GGA was carried out for a relaxed structure of UBeAl.

Cell lengths 4.320, 4.320, 4.320 Å; angles 60.00, 60.00, 60.00 degrees
Element x y z (fractional)
U1 0.000 0.000 0.000
Be1 0.750 0.750 0.750
Al1 0.500 0.500 0.500

Values from the calculation:
- Distance to the lowest polymorph of the same formula: 0.0 kJ per mole of atoms
- Volume: 19.0 A^3/atom



# 3
A plane-wave DFT calculation with PBE-GGA was carried out for a relaxed structure of TmScNO.

Cell lengths 4.593, 3.804, 6.576 Å; angles 90.00, 90.00, 90.00 degrees
Element x y z (fractional)
Tm1 0.250 0.000 0.169
Tm2 0.750 0.000 0.831
Sc1 0.250 0.500 0.663
Sc2 0.750 0.500 0.337
N1 0.250 0.500 0.345
N2 0.750 0.500 0.655
O1 0.250 0.000 0.816
O2 0.750 0.000 0.184

Values from the calculation:
- Distance to the lowest polymorph of the same formula: 8.9 kJ per mole of atoms
- Volume: 14.4 A^3/atom



# 4
A plane-wave DFT calculation with PBE-GGA was carried out for a relaxed structure of ZrTlFeCo.

Cell lengths 4.595, 4.595, 4.595 Å; angles 60.00, 60.00, 60.00 degrees
Element x y z (fractional)
Zr1 0.000 0.000 0.000
Tl1 0.250 0.250 0.250
Fe1 0.500 0.500 0.500
Co1 0.750 0.750 0.750

Values from the calculation:
- Distance to the lowest polymorph of the same formula: 18.9 kJ per mole of atoms
- Volume: 17.2 A^3/atom



# 5
A plane-wave DFT calculation with PBE-GGA was carried out for a relaxed structure of Mg2GaPt.

Cell lengths 4.533, 4.533, 4.533 Å; angles 60.00, 60.00, 60.00 degrees
Element x y z (fractional)
Mg1 0.000 0.000 0.000
Mg2 0.250 0.250 0.250
Ga1 0.500 0.500 0.500
Pt1 0.750 0.750 0.750

Values from the calculation:
- Volume: 16.5 A^3/atom
- Uncorrected energy: -3.54 eV/atom



# 6
A plane-wave DFT calculation with PBE-GGA was carried out for a relaxed structure of PmFeOs.

Cell lengths 4.535, 4.535, 4.535 Å; angles 60.00, 60.00, 60.00 degrees
Element x y z (fractional)
Pm1 0.000 0.000 0.000
Fe1 0.750 0.750 0.750
Os1 0.250 0.250 0.250

Values from the calculation:
- Formation enthalpy at 0 K: 1.4071 eV per atom
- Distance to the lowest polymorph of the same formula: 80.8 kJ per mole of atoms
- Volume: 22.0 A^3/atom



What is the formula in the second record?
UBeAl



Which formula does entry 2 have?
UBeAl



Look up the volume of the fifth one.
16.5 A^3/atom